The following is a PBE-GGA calculation of a relaxed structure of NaGaSn3, from Alexandria.

Cell: 10.7533 6.8389 8.5245 Å, 90.00 120.66 90.00°
Space group C2/m (No. 12)
Unique sites:
1 Na 0.1525 0.0000 0.2046
2 Ga 0.0000 0.5000 0.0000
3 Ga 0.0000 0.5000 0.5000
4 Sn 0.1160 0.2227 0.8071
5 Sn 0.2173 0.5000 0.3614

* size of the total moment: 0.00 μB/f.u.
* density of states at the Fermi level: 0.4129 states/eV per atom
* energy above the most stable polymorph in this dataset: 0.002 eV per atom
* mass density: 5.53 g cm⁻³
* uncorrected energy: -65.435 eV per cell